DFT (PBE-GGA) results for an optimized crystal structure of LiNbS3.

abc: 6.6363 6.6068 6.7368
angles: 90.00 119.02 90.00
With the nearest neighbours (Å) after each atom.
Space group P2_1/m (No. 11)
Inequivalent atoms, fractional coordinates:
1 Li 0.0246 0.2500 0.1394  5 S 2.48-2.63
2 Nb 0.4107 0.2500 0.8886  3 S 2.19-2.45
3 S 0.1192 0.2500 0.5438  1 Nb 2.19
4 S 0.3086 0.5007 0.0946  2 Nb 2.45-2.46, 2 Li 2.59-2.63

For the raw formation energy, the calculation gives -21.58 kcal/mol of atoms.

***

DFT (PBE-GGA) results for an optimized crystal structure of TlFeBBr2.

abc: 5.9602 5.9602 4.2505
angles: 90.00 90.00 90.00
With the nearest neighbours (Å) after each atom.
Space group P4/mmm (No. 123)
Inequivalent atoms, fractional coordinates:
1 Tl 0.0000 0.0000 0.0000  2 B 2.13
2 Fe 0.5000 0.5000 0.5000  8 Br 3.66
3 B 0.0000 0.0000 0.5000  2 Tl 2.13
4 Br 0.0000 0.5000 0.0000  2 Tl 2.98

For the raw formation energy, the calculation gives 28.11 kcal/mol of atoms.

***

DFT (PBE-GGA) results for an optimized crystal structure of HfReSi.

abc: 3.2996 5.1153 6.4505
angles: 80.69 75.24 72.46
With the nearest neighbours (Å) after each atom.
Space group P1 (No. 1)
Inequivalent atoms, fractional coordinates:
1 Hf 0.0000 0.0000 0.0000  5 Si 2.67-2.88, 3 Re 2.84-2.95
2 Hf 0.1105 0.3246 0.3934  4 Re 2.63-2.94, 2 Si 2.86-2.90
3 Re 0.3806 0.4464 0.7671  4 Si 2.42-2.70
4 Re 0.4340 0.7932 0.3536  3 Si 2.42-2.54, 1 Hf 2.63
5 Si 0.6965 0.5399 0.0381  3 Re 2.42-2.45, 1 Hf 2.67
6 Si 0.7420 0.8705 0.6465  4 Re 2.49-2.70

For the raw formation energy, the calculation gives -9.11 kcal/mol of atoms.

***

DFT (PBE-GGA) results for an optimized crystal structure of Sr2GePt2.

abc: 7.1858 7.1858 4.6494
angles: 90.00 90.00 90.00
With the nearest neighbours (Å) after each atom.
Space group P4/mbm (No. 127)
Inequivalent atoms, fractional coordinates:
1 Sr 0.1741 0.3259 0.0000  6 Pt 3.02-3.23
2 Ge 0.0000 0.0000 0.5000  4 Pt 2.79
3 Pt 0.1367 0.6367 0.5000  1 Pt 2.78, 2 Ge 2.79, 2 Sr 3.02

The formation energy comes out at -0.634 eV per atom.

***

DFT (PBE-GGA) results for an optimized crystal structure of Si2PtRh.

abc: 6.0586 6.0586 6.0586
angles: 90.00 90.00 90.00
With the nearest neighbours (Å) after each atom.
Space group Fm-3m (No. 225)
Inequivalent atoms, fractional coordinates:
1 Si 0.2500 0.2500 0.2500  4 Rh 2.62, 4 Pt 2.62
2 Pt 0.0000 0.0000 0.0000  8 Si 2.62
3 Rh 0.0000 0.0000 0.5000  8 Si 2.62

For the raw formation energy, the calculation gives -8.43 kcal/mol of atoms.

***

DFT (PBE-GGA) results for an optimized crystal structure of ErBiPd14.

abc: 5.7520 5.7520 7.9392
angles: 90.00 90.00 90.00
With the nearest neighbours (Å) after each atom.
Space group P4/mmm (No. 123)
Inequivalent atoms, fractional coordinates:
1 Er 0.0000 0.0000 0.0000  12 Pd 2.88
2 Bi 0.5000 0.5000 0.0000  12 Pd 2.88-2.89
3 Pd 0.0000 0.0000 0.5000  12 Pd 2.80-2.88
4 Pd 0.0000 0.5000 0.0000  2 Bi 2.88, 2 Er 2.88, 8 Pd 2.88
5 Pd 0.0000 0.5000 0.5000  12 Pd 2.80-2.88
6 Pd 0.2490 0.2490 0.2572  10 Pd 2.80-2.89, 1 Er 2.88, 1 Bi 2.89
7 Pd 0.5000 0.5000 0.5000  12 Pd 2.81-2.88

The formation energy comes out at -0.273 eV per atom.

***

DFT (PBE-GGA) results for an optimized crystal structure of NiTeAu.

abc: 3.1372 3.1372 11.5811
angles: 90.00 90.00 90.00
With the nearest neighbours (Å) after each atom.
Space group I4mm (No. 107)
Inequivalent atoms, fractional coordinates:
1 Ni 0.0000 0.0000 0.0000  4 Te 2.66, 4 Au 2.77
2 Te 0.0000 0.0000 0.3731  4 Ni 2.66
3 Au 0.0000 0.0000 0.6439  4 Ni 2.77

For the raw formation energy, the calculation gives 4.18 kcal/mol of atoms.

***

DFT (PBE-GGA) results for an optimized crystal structure of Y2ScPt.

abc: 3.7654 3.7654 27.4565
angles: 90.00 90.00 120.00
With the nearest neighbours (Å) after each atom.
Space group R3m (No. 160, hexagonal axes)
Inequivalent atoms, fractional coordinates:
1 Y 0.0000 0.0000 0.0000  3 Pt 2.85
2 Y 0.0000 0.0000 0.2226  3 Sc 3.53, 9 Y 3.74-3.77
3 Sc 0.0000 0.0000 0.4544  3 Pt 2.63
4 Pt 0.0000 0.0000 0.7338  3 Sc 2.63, 3 Y 2.85

The formation energy comes out at -0.454 eV per atom.

***

DFT (PBE-GGA) results for an optimized crystal structure of BaTlInTe2.

abc: 6.5481 6.5481 6.4268
angles: 90.00 90.00 90.00
With the nearest neighbours (Å) after each atom.
Space group P4/mmm (No. 123)
Inequivalent atoms, fractional coordinates:
1 Ba 0.0000 0.0000 0.0000  2 In 3.21, 4 Te 3.27
2 Tl 0.5000 0.5000 0.5000  8 Te 4.59, 4 In 4.63
3 In 0.0000 0.0000 0.5000  2 Ba 3.21
4 Te 0.0000 0.5000 0.0000  2 Ba 3.27

For the raw formation energy, the calculation gives 0.73 kcal/mol of atoms.

***

DFT (PBE-GGA) results for an optimized crystal structure of MgMoRh.

abc: 2.9093 2.9093 11.1776
angles: 90.00 90.00 90.00
With the nearest neighbours (Å) after each atom.
Space group I4mm (No. 107)
Inequivalent atoms, fractional coordinates:
1 Mg 0.0000 0.0000 0.0000  4 Rh 2.74, 4 Mg 2.91, 4 Mo 2.93
2 Mo 0.0000 0.0000 0.3128  4 Rh 2.66, 4 Mo 2.91, 4 Mg 2.93
3 Rh 0.0000 0.0000 0.6617  4 Mo 2.66, 4 Mg 2.74, 4 Rh 2.91

The formation energy comes out at -0.089 eV per atom.

***

DFT (PBE-GGA) results for an optimized crystal structure of YZr2Ru.

abc: 3.3129 4.4580 6.2675
angles: 90.00 104.88 90.00
With the nearest neighbours (Å) after each atom.
Space group Pm (No. 6)
Inequivalent atoms, fractional coordinates:
1 Y 0.0000 0.0000 0.0000  2 Ru 2.93, 1 Zr 3.08
2 Zr 0.1882 0.0000 0.5438  2 Ru 2.68
3 Zr 0.6140 0.5000 0.3151  1 Ru 2.71
4 Ru 0.5553 0.5000 0.7378  3 Zr 2.68-2.71, 2 Y 2.93

The formation energy comes out at -0.065 eV per atom.

***

DFT (PBE-GGA) results for an optimized crystal structure of Li2PmAg4.

abc: 3.2019 4.7401 18.7276
angles: 90.00 90.00 90.00
With the nearest neighbours (Å) after each atom.
Space group Immm (No. 71)
Inequivalent atoms, fractional coordinates:
1 Li 0.0000 0.0000 0.1964  7 Ag 2.72-2.95
2 Pm 0.0000 0.5000 0.0000  12 Ag 3.20-3.37, 2 Pm 3.20
3 Ag 0.0000 0.0000 0.3415  5 Li 2.72-2.95, 2 Ag 2.83
4 Ag 0.0000 0.5000 0.4237  2 Li 2.76, 3 Ag 2.83-2.86

The formation energy comes out at -0.152 eV per atom.

***

| no. | DOS at the Fermi energy (states/eV/cell) |
| --- | --- |
| 1 | 0.1 |
| 2 | 6.4 |
| 3 | 1.7 |
| 4 | 4.9 |
| 5 | 8.2 |
| 6 | 26.1 |
| 7 | 3.5 |
| 8 | 19.4 |
| 9 | 4.5 |
| 10 | 3.4 |
| 11 | 4.8 |
| 12 | 7.4 |